This record from Alexandria via LeMat-Bulk describes crystalline La5PrEr6 at its relaxed geometry. The functional is GGA-PBE.

Unit cell a=5.222 b=9.889 c=9.607 alpha=120.98 beta=105.77 gamma=90.00
Atoms (fractional coordinates):
Pr 0.000 0.000 0.000
Er 0.834 0.584 0.667
Er 0.834 0.083 0.667
Er 0.500 0.750 0.000
Er 0.500 0.250 0.000
Er 0.166 0.917 0.333
Er 0.166 0.416 0.333
La 0.666 0.166 0.332
La 0.333 0.333 0.666
La 0.000 0.500 0.000
La 0.667 0.667 0.334
La 0.334 0.834 0.668

Output
symmetry: Immm, No. 71
total moment: 0.00 μB per formula unit
formation energy: 23 meV per atom
density of states at the Fermi level: 16.4 states/eV/cell